#one
A relaxed Ag2Mo crystal. Source: Alexandria, functional PBE.

Theoretical density: 9.3 g cm⁻³
Crystal system: hexagonal

a = 5.728 Å, b = 5.728 Å, c = 7.810 Å
α = 90.00°, β = 90.00°, γ = 120.00°
Element x y z (fractional)
Ag 0.822 0.178 0.250
Ag 0.178 0.822 0.750
Ag 0.000 0.000 0.500
Mo 0.667 0.333 0.892
Ag 0.355 0.178 0.250
Ag 0.178 0.355 0.750
Ag 0.000 0.000 0.000
Mo 0.333 0.667 0.108
Ag 0.822 0.645 0.250
Mo 0.333 0.667 0.392
Ag 0.645 0.822 0.750
Mo 0.667 0.333 0.608

---

#two
A relaxed Ag2Mo crystal. Source: Alexandria, functional PBE.

Theoretical density: 9.2 g cm⁻³
Crystal system: orthorhombic

a = 2.652 Å, b = 4.454 Å, c = 19.017 Å
α = 90.00°, β = 90.00°, γ = 90.00°
Element x y z (fractional)
Ag 0.000 0.250 0.184
Ag 0.000 0.750 0.961
Ag 0.500 0.250 0.316
Ag 0.500 0.750 0.684
Ag 0.500 0.750 0.539
Mo 0.500 0.250 0.891
Mo 0.500 0.750 0.109
Mo 0.000 0.250 0.609
Ag 0.500 0.250 0.461
Mo 0.000 0.750 0.391
Ag 0.000 0.750 0.816
Ag 0.000 0.250 0.039

---

Energy relative to the most stable one, in meV per atom: #one 0; #two 104

---

#one
A relaxed TcAg3 crystal. Source: Alexandria, functional PBE.

Theoretical density: 9.8 g cm⁻³
Crystal system: tetragonal

a = 6.655 Å, b = 6.655 Å, c = 6.655 Å
α = 135.62°, β = 135.62°, γ = 64.57°
Each line ends with the local moment (μB).
Element x y z (fractional)
Ag 0.869 0.869 0.000  0.00
Ag 0.750 0.250 0.500  0.00
Ag 0.250 0.750 0.500  0.00
Tc 0.600 0.600 0.000  0.51
Ag 0.000 0.500 0.500  0.00
Tc 0.400 0.400 0.000  0.51
Ag 0.500 0.000 0.500  0.00
Ag 0.131 0.131 0.000  0.00

---

#two
A relaxed TcAg3 crystal. Source: Alexandria, functional PBE.

Theoretical density: 9.8 g cm⁻³
Crystal system: cubic

a = 4.151 Å, b = 4.151 Å, c = 4.151 Å
α = 90.00°, β = 90.00°, γ = 90.00°
Each line ends with the local moment (μB).
Element x y z (fractional)
Ag 0.500 0.000 0.500  0.06
Ag 0.000 0.500 0.500  0.06
Ag 0.000 0.000 0.000  0.06
Tc 0.500 0.500 0.000  2.68

---

Energy relative to the most stable one, in meV per atom: #one 0; #two 202

---

#one
A relaxed FeCoW2 crystal. Source: Alexandria, functional PBE.

Theoretical density: 14.5 g cm⁻³
Crystal system: monoclinic

a = 4.575 Å, b = 4.575 Å, c = 4.755 Å
α = 80.29°, β = 80.29°, γ = 34.32°
Each line ends with the local moment (μB).
Element x y z (fractional)
W 0.504 0.504 0.498  -0.11
Fe 0.750 0.750 0.750  1.78
Co 0.250 0.250 0.250  0.17
W 0.996 0.996 0.002  -0.11

---

#two
A relaxed FeCoW2 crystal. Source: Alexandria, functional PBE.

Theoretical density: 14.2 g cm⁻³
Crystal system: trigonal

a = 8.934 Å, b = 8.934 Å, c = 8.934 Å
α = 17.52°, β = 17.52°, γ = 17.52°
Each line ends with the local moment (μB).
Element x y z (fractional)
Fe 0.756 0.756 0.756  2.34
Co 0.495 0.495 0.495  1.31
W 0.244 0.244 0.244  -0.05
W 0.005 0.005 0.005  -0.06

---

Energy relative to the most stable one, in meV per atom: #one 0; #two 40